A relaxed structure of Tb8AlSe6. Source: the Alexandria database, functional PBE-GGA.

Summary:
**Formation energy from raw total energies**: -1.29 eV per atom

abc: 10.5751 10.5751 4.0491
angles: 90.00 90.00 120.00
Atoms (fractional coordinates):
Tb  0.0339  0.7189  0.2501
Tb  0.2811  0.3151  0.2501
Tb  0.3151  0.0339  0.7499
Tb  0.3333  0.6667  0.7498
Tb  0.6667  0.3333  0.2502
Tb  0.6849  0.9661  0.2501
Tb  0.7189  0.6849  0.7499
Tb  0.9661  0.2811  0.7499
Al  0.0000  0.0000  0.5000
Se  0.1306  0.4825  0.2521
Se  0.3519  0.8694  0.2521
Se  0.4825  0.3519  0.7479
Se  0.5175  0.6481  0.2521
Se  0.6481  0.1306  0.7479
Se  0.8694  0.5175  0.7479

---

A relaxed structure of SrLi3Pb. Source: the Alexandria database, functional PBE-GGA.

Summary:
**Calculated total energy**: -0.10982 Ry/atom

abc: 5.5517 5.5517 5.5517
angles: 90.00 90.00 90.00
Atoms (fractional coordinates):
Sr  0.0000  0.0000  0.0000
Li  0.0000  0.0000  0.5000
Li  0.0000  0.5000  0.0000
Li  0.5000  0.0000  0.0000
Pb  0.5000  0.5000  0.5000

---

A relaxed structure of CsRb3Np2Se6. Source: the Alexandria database, functional PBE-GGA.

Summary:
**Formation energy from raw total energies**: -1.18 eV per atom

abc: 10.5283 10.5283 9.7280
angles: 104.31 104.31 24.00
Atoms (fractional coordinates):
Cs  0.0000  0.0000  0.0000
Rb  0.0000  0.0000  0.5000
Rb  0.3431  0.3431  0.1623
Rb  0.6569  0.6569  0.8377
Np  0.3258  0.3258  0.6561
Np  0.6742  0.6742  0.3439
Se  0.1784  0.1784  0.1525
Se  0.1812  0.1812  0.5493
Se  0.4605  0.4605  0.7166
Se  0.5395  0.5395  0.2834
Se  0.8188  0.8188  0.4507
Se  0.8216  0.8216  0.8475

---

A relaxed structure of In2Pt2Rh. Source: the Alexandria database, functional PBE-GGA.

Summary:
**Calculated total energy**: -0.38115 Ry/atom

abc: 7.3487 7.3487 3.3837
angles: 90.00 90.00 90.00
Atoms (fractional coordinates):
In  0.1702  0.3298  0.0000
In  0.3298  0.8298  0.0000
In  0.6702  0.1702  0.0000
In  0.8298  0.6702  0.0000
Pt  0.1317  0.6317  0.5000
Pt  0.3683  0.1317  0.5000
Pt  0.6317  0.8683  0.5000
Pt  0.8683  0.3683  0.5000
Rh  0.0000  0.0000  0.5000
Rh  0.5000  0.5000  0.5000

---

no.,density of states at the Fermi level (states/eV/f.u.)
1,11.51
2,2.34
3,14.70
4,2.61